Computed, not measured: NdZn2Ga4Ni after structural relaxation at the PBE-GGA level of DFT.

a = 9.1726 Å, b = 9.1726 Å, c = 9.1726 Å
α = 27.13°, β = 27.13°, γ = 27.13°
With the nearest neighbours (Å) after each atom.
Sites, in units of the cell vectors:
Nd1 0.0000 0.0000 0.0000  6 Ga 3.12, 6 Zn 3.29
Zn1 0.2519 0.2519 0.2519  3 Ga 2.50
Zn2 0.7481 0.7481 0.7481  3 Ga 2.50
Ga1 0.1366 0.1366 0.1366  3 Ni 2.61, 3 Zn 2.88
Ga2 0.4043 0.4043 0.4043  3 Zn 2.50, 1 Ni 2.53
Ga3 0.5957 0.5957 0.5957  3 Zn 2.50, 1 Ni 2.53
Ga4 0.8634 0.8634 0.8634  3 Ni 2.61, 3 Zn 2.88
Ni1 0.5000 0.5000 0.5000  8 Ga 2.53-2.61

Properties
Its crystal system is trigonal. As for the space group: R-3m, No. 166. The total energy is -3.435 eV/atom.